# KCuP2

KCuP2 after structural relaxation (GGA-PBE, the Alexandria database).

Cell: 3.353 3.898 6.460 Å, 90.06 90.00 90.00°
Sites, in units of the cell vectors:
Cu1 0.000 0.625 0.291
P1 0.000 0.125 0.093
P2 0.500 0.125 0.344
K1 0.500 0.625 0.772

Values from the calculation:
**Crystal system**: monoclinic
**ρ**: 3237 kg/m3
**Total energy**: -4.0440 eV per atom
**Relative energy among the computed polymorphs**: 93.9 meV per atom
**Energy of formation from the pure elements**: -0.041 eV/atom